This record from Alexandria via LeMat-Bulk describes a relaxed structure of VO2. The functional is PBEsol.

Geometry as POSCAR:
```
VO2
1.0
-4.996 4.996 1.406
4.996 -4.996 1.406
4.996 4.996 -1.406
V O
4 8
direct
0.139 0.323 0.461
0.323 0.861 0.184
0.677 0.139 0.816
0.861 0.677 0.539
0.043 0.662 0.705
0.299 0.657 0.957
0.338 0.043 0.381
0.343 0.299 0.642
0.657 0.701 0.358
0.662 0.957 0.619
0.701 0.343 0.043
0.957 0.338 0.295
```

Symmetry: I4/m, No. 87
Total magnetic moment: 1.00 μB per formula unit
E_tot: -9.051 eV per atom
Raw formation energy: -2.340 eV/atom